Record 1
VASP calculation (PBE-GGA) on a geometry-optimized AlBi2B structure.

As for the density of states at the Fermi level: 0.02 states/eV/cell.

It has space group I-42d (No. 122), with a = 6.069 Å, b = 6.069 Å, c = 11.705 Å, α = 90.00°, β = 90.00° and γ = 90.00°. The distinct sites, in fractional coordinates, are Al at (0.000, 0.000, 0.000), Bi at (0.201, 0.250, 0.625) and B at (0.000, 0.000, 0.500).

Record 2
VASP calculation (PBE-GGA) on a geometry-optimized CaAl2BiB structure.

As for the density of states at the Fermi level: 1.60 states/eV/cell.

It has space group P4/mmm (No. 123), with a = 4.404 Å, b = 4.404 Å, c = 5.612 Å, α = 90.00°, β = 90.00° and γ = 90.00°. The distinct sites, in fractional coordinates, are Ca at (0.000, 0.000, 0.000), Al at (0.000, 0.500, 0.500), Bi at (0.500, 0.500, 0.000) and B at (0.500, 0.500, 0.500).

Record 3
VASP calculation (PBE-GGA) on a geometry-optimized Al2CdBiB structure.

As for the density of states at the Fermi level: 3.08 states/eV/cell.

It has space group P4/mmm (No. 123), with a = 5.753 Å, b = 5.753 Å, c = 4.514 Å, α = 90.00°, β = 90.00° and γ = 90.00°. The distinct sites, in fractional coordinates, are Al at (0.000, 0.500, 0.000), Cd at (0.000, 0.000, 0.500), Bi at (0.500, 0.500, 0.000) and B at (0.500, 0.500, 0.500).

Record 4
VASP calculation (PBE-GGA) on a geometry-optimized KAl2BiB structure.

As for the density of states at the Fermi level: 3.47 states/eV/cell.

It has space group P4/mmm (No. 123), with a = 4.512 Å, b = 4.512 Å, c = 5.629 Å, α = 90.00°, β = 90.00° and γ = 90.00°. The distinct sites, in fractional coordinates, are K at (0.000, 0.000, 0.000), Al at (0.000, 0.500, 0.500), Bi at (0.500, 0.500, 0.000) and B at (0.500, 0.500, 0.500).

Results for E_tot: -4.02; -3.78; -2.39; -3.26 (in eV per atom, following the order of the records).